# Na2PuVF8 PBE+U optimized geometry
data_Na2PuVF8
_chemical_formula_sum 'Na2 Pu1 V1 F8'
_space_group_name_H-M_alt 'P 1'
_space_group_IT_number 1
_space_group_name_Hall 'P 1'
_cell_length_a 3.891
_cell_length_b 5.520
_cell_length_c 7.425
_cell_angle_alpha 89.99
_cell_angle_beta 90.00
_cell_angle_gamma 93.34
loop_
_atom_site_label
_atom_site_type_symbol
_atom_site_fract_x
_atom_site_fract_y
_atom_site_fract_z
Na1 Na 0.500 0.500 0.773
Na2 Na 0.500 0.500 0.227
Pu1 Pu 0.000 0.000 0.500
V1 V 0.000 0.000 0.000
F1 F 0.038 0.776 0.227
F2 F 0.556 0.787 0.000
F3 F 0.962 0.224 0.227
F4 F 0.962 0.224 0.773
F5 F 0.444 0.213 0.000
F6 F 0.038 0.776 0.773
F7 F 0.498 0.755 0.500
F8 F 0.502 0.245 0.500
# Total DFT energy (no corrections): -6.34 eV/atom